(1)
Density functional theory data (PBE) for SmNi5Ir after structural relaxation.

a = 4.900 Å, b = 7.933 Å, c = 9.960 Å
α = 90.00°, β = 90.00°, γ = 90.00°
Sites, in units of the cell vectors:
Sm1 0.250 0.244 0.941
Sm2 0.750 0.256 0.441
Sm3 0.250 0.744 0.559
Sm4 0.750 0.756 0.059
Ni1 0.250 0.600 0.020
Ni2 0.750 0.900 0.520
Ni3 0.250 0.100 0.480
Ni4 0.750 0.400 0.980
Ni5 0.750 0.321 0.741
Ni6 0.250 0.179 0.241
Ni7 0.750 0.821 0.759
Ni8 0.250 0.679 0.259
Ni9 0.250 0.937 0.094
Ni10 0.750 0.563 0.594
Ni11 0.250 0.437 0.406
Ni12 0.750 0.063 0.906
Ni13 0.995 0.432 0.192
Ni14 0.005 0.068 0.692
Ni15 0.505 0.932 0.308
Ni16 0.495 0.568 0.808
Ni17 0.005 0.568 0.808
Ni18 0.995 0.932 0.308
Ni19 0.495 0.068 0.692
Ni20 0.505 0.432 0.192
Ir1 0.250 0.852 0.851
Ir2 0.750 0.648 0.351
Ir3 0.250 0.352 0.649
Ir4 0.750 0.148 0.149

SG	No. 62
final energy	-6.2900	eV per atom
formation energy	-220	meV per atom
size of the total moment	0.34	μB/atom

(2)
Density functional theory data (PBE) for AcPm6Sm3Tm2 after structural relaxation.

a = 6.309 Å, b = 6.309 Å, c = 12.105 Å
α = 94.98°, β = 94.98°, γ = 119.96°
Sites, in units of the cell vectors:
Ac1 0.000 0.000 0.000
Pm1 0.916 0.579 0.749
Pm2 0.747 0.747 0.252
Pm3 0.084 0.421 0.251
Pm4 0.579 0.916 0.749
Pm5 0.253 0.253 0.748
Pm6 0.421 0.084 0.251
Sm1 0.167 0.833 0.500
Sm2 0.833 0.167 0.500
Sm3 0.500 0.500 0.500
Tm1 0.333 0.667 0.000
Tm2 0.667 0.333 0.000

SG	No. 12
final energy	-4.6157	eV per atom
formation energy	27	meV per atom
size of the total moment	0.00	μB/atom

(3)
Density functional theory data (PBE) for LaTbDySc after structural relaxation.

a = 3.813 Å, b = 5.700 Å, c = 6.728 Å
α = 115.06°, β = 73.53°, γ = 90.00°
Sites, in units of the cell vectors:
La1 0.420 0.141 0.281
Tb1 0.653 0.410 0.821
Dy1 0.192 0.872 0.744
Sc1 0.921 0.642 0.283

SG	No. 8
ΔE to the lowest computed polymorph	0.000	eV per atom
final energy	-5.0337	eV per atom
formation energy	89	meV per atom
size of the total moment	0.00	μB/atom

(4)
Density functional theory data (PBE) for Ca2Ac3Pt2 after structural relaxation.

a = 4.082 Å, b = 7.099 Å, c = 9.212 Å
α = 72.93°, β = 77.20°, γ = 73.29°
Sites, in units of the cell vectors:
Ca1 0.183 0.446 0.188
Ca2 0.817 0.554 0.812
Ac1 0.500 0.000 0.000
Ac2 0.385 0.798 0.433
Ac3 0.615 0.202 0.567
Pt1 0.173 0.902 0.751
Pt2 0.827 0.098 0.249

SG	No. 12
final energy	-4.7490	eV per atom
formation energy	-690	meV per atom
size of the total moment	0.00	μB/atom

(5)
Density functional theory data (PBE) for MnZnGaMo after structural relaxation.

a = 4.262 Å, b = 4.262 Å, c = 4.262 Å
α = 60.00°, β = 60.00°, γ = 60.00°
Sites, in units of the cell vectors:
Mo1 0.750 0.750 0.750
Mn1 0.500 0.500 0.500
Zn1 0.250 0.250 0.250
Ga1 0.000 0.000 0.000

SG	No. 216
final energy	-5.9578	eV per atom
formation energy	118	meV per atom
size of the total moment	0.00	μB/atom

Repeat the fifth record exactly.
Density functional theory data (PBE) for MnZnGaMo after structural relaxation.

a = 4.262 Å, b = 4.262 Å, c = 4.262 Å
α = 60.00°, β = 60.00°, γ = 60.00°
Sites, in units of the cell vectors:
Mo1 0.750 0.750 0.750
Mn1 0.500 0.500 0.500
Zn1 0.250 0.250 0.250
Ga1 0.000 0.000 0.000

SG	No. 216
final energy	-5.9578	eV per atom
formation energy	118	meV per atom
size of the total moment	0.00	μB/atom

What did the third record say?
Density functional theory data (PBE) for LaTbDySc after structural relaxation.

a = 3.813 Å, b = 5.700 Å, c = 6.728 Å
α = 115.06°, β = 73.53°, γ = 90.00°
Sites, in units of the cell vectors:
La1 0.420 0.141 0.281
Tb1 0.653 0.410 0.821
Dy1 0.192 0.872 0.744
Sc1 0.921 0.642 0.283

SG	No. 8
ΔE to the lowest computed polymorph	0.000	eV per atom
final energy	-5.0337	eV per atom
formation energy	89	meV per atom
size of the total moment	0.00	μB/atom